[1]
Entry from Alexandria: a relaxed Be2SiIr crystal (PBE-GGA).

Computed properties:
The value obtained for the energy relative to the elements, uncorrected is -0.209 eV/atom. The calculation puts the total energy at -22.6 eV/cell. For the mass density, the calculation gives 8.7 Mg/m³. The space group is P2/m, No. 10.

a b c (Å): 3.7371 2.7451 4.4177
angles (deg): 89.91 90.00 90.00
Fractional coordinates of all 4 atoms:
Be  0.0000  0.7467  0.0153
Be  0.0000  0.7533  0.4847
Si  0.5000  0.7500  0.7500
Ir  0.5000  0.2500  0.2500

[2]
Entry from Alexandria: a relaxed SmErAlAg crystal (PBE-GGA).

Computed properties:
The calculation puts the total energy at -17.2 eV/cell. The energy relative to the elements comes out at -0.32 eV/atom. As for the excess energy over the best structure of this formula in the dataset: 0.030 eV per atom. For the mass density, the calculation gives 7.6 Mg/m³. The space group is F-43m, No. 216.

a b c (Å): 5.1882 5.1882 5.1882
angles (deg): 60.00 60.00 60.00
Fractional coordinates of all 4 atoms:
Al  0.0000  0.0000  0.0000
Ag  0.5000  0.5000  0.5000
Sm  0.7500  0.7500  0.7500
Er  0.2500  0.2500  0.2500

[3]
Entry from Alexandria: a relaxed Na2TaIn crystal (PBE-GGA).

Computed properties:
The calculation puts the total energy at -13.0 eV/cell. The energy relative to the elements comes out at 1.06 eV/atom. As for the excess energy over the best structure of this formula in the dataset: 0.000 eV per atom. For the mass density, the calculation gives 6.1 Mg/m³. The space group is Fm-3m, No. 225.

a b c (Å): 5.0996 5.0996 5.0996
angles (deg): 60.00 60.00 60.00
Fractional coordinates of all 4 atoms:
Na  0.2500  0.2500  0.2500
Na  0.7500  0.7500  0.7500
In  0.0000  0.0000  0.0000
Ta  0.5000  0.5000  0.5000

[4]
Entry from Alexandria: a relaxed AlZn2Hg crystal (PBE-GGA).

Computed properties:
The calculation puts the total energy at -6.1 eV/cell. The energy relative to the elements comes out at 0.12 eV/atom. As for the excess energy over the best structure of this formula in the dataset: 0.011 eV per atom. For the mass density, the calculation gives 8.2 Mg/m³. The space group is P4mm, No. 99.

a b c (Å): 2.9822 2.9822 8.1161
angles (deg): 90.00 90.00 90.00
Fractional coordinates of all 4 atoms:
Zn  0.0000  0.0000  0.0278
Zn  0.5000  0.5000  0.2455
Hg  0.5000  0.5000  0.7543
Al  0.0000  0.0000  0.4724

[5]
Entry from Alexandria: a relaxed MoRuPt4 crystal (PBE-GGA).

Computed properties:
The calculation puts the total energy at -45.5 eV/cell. The energy relative to the elements comes out at -0.20 eV/atom. As for the excess energy over the best structure of this formula in the dataset: 0.000 eV per atom. For the mass density, the calculation gives 17.8 Mg/m³. The space group is C2/m, No. 12.

a b c (Å): 4.8155 4.8155 4.8309
angles (deg): 80.10 80.10 119.77
Fractional coordinates of all 6 atoms:
Mo  0.4982  0.0028  0.0012
Ru  0.9981  0.5026  0.5014
Pt  0.3349  0.1659  0.5013
Pt  0.6614  0.8395  0.5013
Pt  0.8345  0.6664  0.0013
Pt  0.1619  0.3391  0.0013

[6]
Entry from Alexandria: a relaxed PrNi4SbP2 crystal (PBE-GGA).

Computed properties:
The value obtained for the energy relative to the elements, uncorrected is -0.631 eV/atom. The calculation puts the total energy at -47.9 eV/cell. For the mass density, the calculation gives 7.4 Mg/m³. The space group is P4/mmm, No. 123.

a b c (Å): 4.0157 4.0157 7.7695
angles (deg): 90.00 90.00 90.00
Fractional coordinates of all 8 atoms:
Pr  0.0000  0.0000  0.5000
Ni  0.0000  0.5000  0.2050
Ni  0.5000  0.0000  0.7950
Ni  0.5000  0.0000  0.2050
Ni  0.0000  0.5000  0.7950
Sb  0.0000  0.0000  0.0000
P  0.5000  0.5000  0.3400
P  0.5000  0.5000  0.6600

[7]
Entry from Alexandria: a relaxed CeSbAu crystal (PBE-GGA).

Computed properties:
The value obtained for the energy relative to the elements, uncorrected is -0.716 eV/atom. The calculation puts the total energy at -15.5 eV/cell. For the mass density, the calculation gives 9.2 Mg/m³. The space group is F-43m, No. 216.

a b c (Å): 4.8864 4.8864 4.8864
angles (deg): 60.00 60.00 60.00
Fractional coordinates of all 3 atoms:
Sb  0.0000  0.0000  0.0000
Au  0.2500  0.2500  0.2500
Ce  0.5000  0.5000  0.5000

[8]
Entry from Alexandria: a relaxed CoAgBr2 crystal (PBE-GGA).

Computed properties:
The value obtained for the energy relative to the elements, uncorrected is 0.157 eV/atom. The calculation puts the total energy at -12.7 eV/cell. As for the excess energy over the best structure of this formula in the dataset: 0.161 eV per atom. For the mass density, the calculation gives 5.7 Mg/m³. The space group is P4mm, No. 99.

a b c (Å): 3.6823 3.6815 7.0466
angles (deg): 90.00 90.00 90.00
Fractional coordinates of all 4 atoms:
Ag  0.5000  0.5000  0.7381
Br  0.0000  0.0000  0.8910
Br  0.5000  0.5000  0.3617
Co  0.0000  0.0000  0.5092

[9]
Entry from Alexandria: a relaxed LaRe2W crystal (PBE-GGA).

Computed properties:
The calculation puts the total energy at -40.3 eV/cell. The energy relative to the elements comes out at 0.61 eV/atom. As for the excess energy over the best structure of this formula in the dataset: 0.276 eV per atom. For the mass density, the calculation gives 16.1 Mg/m³. The space group is F-43m, No. 216.

a b c (Å): 4.6611 4.6611 4.6611
angles (deg): 60.00 60.00 60.00
Fractional coordinates of all 4 atoms:
La  0.5000  0.5000  0.5000
Re  0.0000  0.0000  0.0000
Re  0.2500  0.2500  0.2500
W  0.7500  0.7500  0.7500

[10]
Entry from Alexandria: a relaxed Cs2AlH6 crystal (PBE-GGA).

Computed properties:
The calculation puts the total energy at -50.2 eV/cell. For the mass density, the calculation gives 2.7 Mg/m³. The space group is P4_2/mnm, No. 136.

a b c (Å): 5.5891 5.5891 11.6391
angles (deg): 90.00 90.00 90.00
Fractional coordinates of all 18 atoms:
Cs  0.0000  0.0000  0.3343
Cs  0.5000  0.5000  0.8343
Cs  0.5000  0.5000  0.1657
Cs  0.0000  0.0000  0.6657
Al  0.0000  0.0000  0.0000
Al  0.5000  0.5000  0.5000
H  0.3467  0.3467  0.3919
H  0.6533  0.6533  0.3919
H  0.1533  0.8467  0.8919
H  0.8467  0.1533  0.8919
H  0.1533  0.8467  0.1081
H  0.8467  0.1533  0.1081
H  0.3467  0.3467  0.6081
H  0.6533  0.6533  0.6081
H  0.2195  0.2195  0.0000
H  0.7805  0.7805  0.0000
H  0.2805  0.7195  0.5000
H  0.7195  0.2805  0.5000

[11]
Entry from Alexandria: a relaxed CoRe2W crystal (PBE-GGA).

Computed properties:
The calculation puts the total energy at -44.4 eV/cell. The energy relative to the elements comes out at 0.14 eV/atom. As for the excess energy over the best structure of this formula in the dataset: 0.096 eV per atom. For the mass density, the calculation gives 17.8 Mg/m³. The space group is Pm, No. 6.

a b c (Å): 4.2821 2.6753 5.1236
angles (deg): 78.68 90.00 90.00
Fractional coordinates of all 4 atoms:
Co  0.5000  0.5986  0.7513
Re  0.0000  0.0147  0.9902
Re  0.5000  0.3026  0.2508
W  0.0000  0.5842  0.5078

[12]
Entry from Alexandria: a relaxed CsMnSi2 crystal (PBE-GGA).

Computed properties:
The value obtained for the energy relative to the elements, uncorrected is 0.255 eV/atom. The calculation puts the total energy at -39.7 eV/cell. As for the excess energy over the best structure of this formula in the dataset: 0.000 eV per atom. For the mass density, the calculation gives 3.2 Mg/m³. The space group is I4_1/amd, No. 141.

a b c (Å): 6.6116 6.6116 7.3767
angles (deg): 63.38 63.38 90.00
Fractional coordinates of all 8 atoms:
Cs  0.0000  0.0000  0.0000
Cs  0.7500  0.2500  0.5000
Si  0.3749  0.1250  0.2500
Si  0.3751  0.6250  0.2500
Si  0.3750  0.6251  0.7500
Si  0.8750  0.6249  0.7500
Mn  0.5000  0.5000  0.0000
Mn  0.2500  0.7500  0.5000

Q: Which of these has the highest total energy?
A: AlZn2Hg

Q: Look up the mass density of the tenth one.
A: 2.7 Mg/m³

Q: Which of these has the lowest total energy?
A: Cs2AlH6

Q: Among the records above, which one has the lowest total energy?
A: Cs2AlH6